8
Lattice="-1.576 -1.933 -5.324 -2.326 -4.478 3.500 -4.147 4.794 1.217" Properties=species:S:1:pos:R:3 comment="BaAuCl6 | the Open Quantum Materials Database | PBE-GGA | optimized geometry" spacegroup="P-1, No. 2" e_tot_ev_per_atom=-3.015 pbc="T T T"
Cl -2.908 -4.289 -1.594
Au 0.000 0.000 0.000
Cl -3.596 -1.483 -3.574
Cl -3.819 -3.686 1.848
Ba -4.024 -0.808 -0.304
Cl -4.230 2.069 -2.456
Cl -4.452 -0.134 2.966
Cl -5.140 2.673 0.986